(one)
DFT (GGA-PBE) results for a geometry-optimized Li4TlPb2 structure.

```
Li4TlPb2
1.0
5.028 0.000 0.000
0.000 5.570 0.000
0.000 -2.785 5.962
Li Tl Pb
4 1 2
Cartesian
2.514 2.785 1.555
0.000 0.000 2.889
2.514 0.000 4.407
0.000 2.785 3.073
0.000 2.785 0.000
2.514 0.000 1.496
2.514 2.785 4.467
```

Computed properties:
Spin magnetization: 0.0 μB/cell


(two)
DFT (GGA-PBE) results for a geometry-optimized Li4TlPb2 structure.

```
Li4TlPb2
1.0
-0.745 -5.707 -1.708
3.568 0.095 4.828
-5.392 2.346 1.213
Tl Li Pb
1 4 2
Cartesian
0.000 0.000 0.000
1.784 0.047 2.414
-2.696 1.173 0.607
-1.284 -1.633 2.167
-0.373 -2.854 -0.854
-3.068 -1.681 -0.247
1.411 -2.806 1.560
```

Computed properties:
Spin magnetization: 0.0 μB/cell


Relative calculated energies, zero for the most stable structure, unit meV/atom: (one) 106; (two) 0.